1.
# La2Pm2Er7

A relaxed structure of La2Pm2Er7 (PBE, Alexandria via LeMat-Bulk).

The formation energy is 0.351 eV/atom. The calculation puts the total energy at -4.3121 eV/atom. The calculation puts the size of the total moment at 0.5 μB per cell.

Cell and atoms, written as CIF:
```
data_La2Pm2Er7
_symmetry_space_group_name_H-M 'C m m m'
_symmetry_Int_Tables_number 65
_symmetry_space_group_name_Hall '-C 2 2'
_cell_length_a 6.500
_cell_length_b 12.164
_cell_length_c 9.444
_cell_angle_alpha 90.00
_cell_angle_beta 90.00
_cell_angle_gamma 90.00
loop_
_atom_site_label
_atom_site_type_symbol
_atom_site_fract_x
_atom_site_fract_y
_atom_site_fract_z
La1 La 0.248 0.000 0.000
Pm1 Pm 0.000 0.223 0.500
Er1 Er 0.000 0.000 0.317
Er2 Er 0.000 0.500 0.500
Er3 Er 0.250 0.250 0.182
```

***

2.
# LaPm5Er3

A relaxed structure of LaPm5Er3 (PBE, Alexandria via LeMat-Bulk).

The formation energy is 0.270 eV/atom. The calculation puts the total energy at -4.4377 eV/atom. The calculation puts the size of the total moment at 0.0 μB per cell.

Cell and atoms, written as CIF:
```
data_LaPm5Er3
_symmetry_space_group_name_H-M 'I 4/m c m'
_symmetry_Int_Tables_number 140
_symmetry_space_group_name_Hall '-I 4 2c'
_cell_length_a 8.580
_cell_length_b 8.580
_cell_length_c 16.491
_cell_angle_alpha 90.00
_cell_angle_beta 90.00
_cell_angle_gamma 90.00
loop_
_atom_site_label
_atom_site_type_symbol
_atom_site_fract_x
_atom_site_fract_y
_atom_site_fract_z
La1 La 0.000 0.500 0.250
Pm1 Pm 0.000 0.000 0.000
Pm2 Pm 0.196 0.304 0.138
Er1 Er 0.000 0.000 0.250
Er2 Er 0.124 0.376 0.500
```

***

3.
# La5Pm2Er12

A relaxed structure of La5Pm2Er12 (PBE, Alexandria via LeMat-Bulk).

The formation energy is 0.122 eV/atom. The calculation puts the total energy at -4.5566 eV/atom. The calculation puts the size of the total moment at 0.0 μB per cell.

Cell and atoms, written as CIF:
```
data_La5Pm2Er12
_symmetry_space_group_name_H-M 'C 1 2/m 1'
_symmetry_Int_Tables_number 12
_symmetry_space_group_name_Hall '-C 2y'
_cell_length_a 15.720
_cell_length_b 9.303
_cell_length_c 8.707
_cell_angle_alpha 90.00
_cell_angle_beta 92.68
_cell_angle_gamma 90.00
loop_
_atom_site_label
_atom_site_type_symbol
_atom_site_fract_x
_atom_site_fract_y
_atom_site_fract_z
La1 La 0.000 0.000 0.000
La2 La 0.211 0.500 0.521
La3 La 0.232 0.000 0.072
Pm1 Pm 0.000 0.325 0.500
Er1 Er 0.054 0.500 0.837
Er2 Er 0.072 0.000 0.377
Er3 Er 0.130 0.310 0.169
Er4 Er 0.146 0.178 0.743
```

***

4.
# La2PmEr

A relaxed structure of La2PmEr (PBE, Alexandria via LeMat-Bulk).

The formation energy is 0.023 eV/atom. The calculation puts the total energy at -4.7689 eV/atom. The calculation puts the size of the total moment at 0.0 μB per cell.

Cell and atoms, written as CIF:
```
data_La2PmEr
_symmetry_space_group_name_H-M 'P 4/m m m'
_symmetry_Int_Tables_number 123
_symmetry_space_group_name_Hall '-P 4 2'
_cell_length_a 3.703
_cell_length_b 3.703
_cell_length_c 10.132
_cell_angle_alpha 90.00
_cell_angle_beta 90.00
_cell_angle_gamma 90.00
loop_
_atom_site_label
_atom_site_type_symbol
_atom_site_fract_x
_atom_site_fract_y
_atom_site_fract_z
La1 La 0.000 0.000 0.245
Pm1 Pm 0.500 0.500 0.500
Er1 Er 0.500 0.500 0.000
```

***

5.
# LaPm8Er6

A relaxed structure of LaPm8Er6 (PBE, Alexandria via LeMat-Bulk).

The formation energy is 0.210 eV/atom. The calculation puts the total energy at -4.4770 eV/atom. The calculation puts the size of the total moment at 0.0 μB per cell.

Cell and atoms, written as CIF:
```
data_LaPm8Er6
_symmetry_space_group_name_H-M 'P -3'
_symmetry_Int_Tables_number 147
_symmetry_space_group_name_Hall '-P 3'
_cell_length_a 9.4620
_cell_length_b 9.4620
_cell_length_c 6.6382
_cell_angle_alpha 90.00
_cell_angle_beta 90.00
_cell_angle_gamma 120.00
loop_
_atom_site_label
_atom_site_type_symbol
_atom_site_fract_x
_atom_site_fract_y
_atom_site_fract_z
La1 La 0.0000 0.0000 0.0000
Pm1 Pm 0.0130 0.6891 0.6107
Pm2 Pm 0.3333 0.6667 0.3291
Er1 Er 0.0860 0.4104 0.8942
```

***

6.
# La5Pm2Er4

A relaxed structure of La5Pm2Er4 (PBE, Alexandria via LeMat-Bulk).

The formation energy is 0.160 eV/atom. The calculation puts the total energy at -4.6028 eV/atom. The calculation puts the size of the total moment at 0.0 μB per cell.

Cell and atoms, written as CIF:
```
data_La5Pm2Er4
_symmetry_space_group_name_H-M 'I m m m'
_symmetry_Int_Tables_number 71
_symmetry_space_group_name_Hall '-I 2 2'
_cell_length_a 3.568
_cell_length_b 9.300
_cell_length_c 23.711
_cell_angle_alpha 90.00
_cell_angle_beta 90.00
_cell_angle_gamma 90.00
loop_
_atom_site_label
_atom_site_type_symbol
_atom_site_fract_x
_atom_site_fract_y
_atom_site_fract_z
La1 La 0.000 0.000 0.000
La2 La 0.000 0.299 0.355
Pm1 Pm 0.000 0.500 0.232
Er1 Er 0.000 0.182 0.500
Er2 Er 0.000 0.500 0.096
```

***

7.
# La6Pm4Er

A relaxed structure of La6Pm4Er (PBE, Alexandria via LeMat-Bulk).

The formation energy is 0.116 eV/atom. The calculation puts the total energy at -4.7135 eV/atom. The calculation puts the size of the total moment at 0.0 μB per cell.

Cell and atoms, written as CIF:
```
data_La6Pm4Er
_symmetry_space_group_name_H-M 'P -6 m 2'
_symmetry_Int_Tables_number 187
_symmetry_space_group_name_Hall 'P -6 2'
_cell_length_a 11.2082
_cell_length_b 11.2082
_cell_length_c 3.6465
_cell_angle_alpha 90.00
_cell_angle_beta 90.00
_cell_angle_gamma 120.00
loop_
_atom_site_label
_atom_site_type_symbol
_atom_site_fract_x
_atom_site_fract_y
_atom_site_fract_z
La1 La 0.0331 0.5165 0.0000
La2 La 0.1334 0.2667 0.5000
Pm1 Pm 0.3333 0.6667 0.5000
Pm2 Pm 0.3539 0.1769 0.0000
Er1 Er 0.6667 0.3333 0.5000
```

***

8.
# La7Pm2Er2

A relaxed structure of La7Pm2Er2 (PBE, Alexandria via LeMat-Bulk).

The formation energy is 0.113 eV/atom. The calculation puts the total energy at -4.7156 eV/atom. The calculation puts the size of the total moment at 0.0 μB per cell.

Cell and atoms, written as CIF:
```
data_La7Pm2Er2
_symmetry_space_group_name_H-M 'C 1 2/m 1'
_symmetry_Int_Tables_number 12
_symmetry_space_group_name_Hall '-C 2y'
_cell_length_a 11.625
_cell_length_b 11.621
_cell_length_c 6.222
_cell_angle_alpha 90.00
_cell_angle_beta 111.58
_cell_angle_gamma 90.00
loop_
_atom_site_label
_atom_site_type_symbol
_atom_site_fract_x
_atom_site_fract_y
_atom_site_fract_z
La1 La 0.000 0.000 0.000
La2 La 0.074 0.500 0.801
La3 La 0.185 0.232 0.181
Pm1 Pm 0.226 0.000 0.594
Er1 Er 0.000 0.214 0.500
```

***

9.
# La2Pm4Er3

A relaxed structure of La2Pm4Er3 (PBE, Alexandria via LeMat-Bulk).

The formation energy is 0.053 eV/atom. The calculation puts the total energy at -4.6741 eV/atom. The calculation puts the size of the total moment at 0.0 μB per cell.

Cell and atoms, written as CIF:
```
data_La2Pm4Er3
_symmetry_space_group_name_H-M 'P 3 m 1'
_symmetry_Int_Tables_number 156
_symmetry_space_group_name_Hall 'P 3 -2"'
_cell_length_a 3.6315
_cell_length_b 3.6315
_cell_length_c 27.0067
_cell_angle_alpha 90.00
_cell_angle_beta 90.00
_cell_angle_gamma 120.00
loop_
_atom_site_label
_atom_site_type_symbol
_atom_site_fract_x
_atom_site_fract_y
_atom_site_fract_z
La1 La 0.0000 0.0000 0.0000
La2 La 0.0000 0.0000 0.2157
Pm1 Pm 0.0000 0.0000 0.3499
Pm2 Pm 0.0000 0.0000 0.5602
Pm3 Pm 0.3333 0.6667 0.6718
Pm4 Pm 0.3333 0.6667 0.8835
Er1 Er 0.0000 0.0000 0.7782
Er2 Er 0.3333 0.6667 0.1093
Er3 Er 0.3333 0.6667 0.4534
```

***

10.
# La12Pm3Er

A relaxed structure of La12Pm3Er (PBE, Alexandria via LeMat-Bulk).

The formation energy is 0.008 eV/atom. The calculation puts the total energy at -4.8640 eV/atom. The calculation puts the size of the total moment at 0.0 μB per cell.

Cell and atoms, written as CIF:
```
data_La12Pm3Er
_symmetry_space_group_name_H-M 'P 4/m m m'
_symmetry_Int_Tables_number 123
_symmetry_space_group_name_Hall '-P 4 2'
_cell_length_a 5.228
_cell_length_b 5.228
_cell_length_c 20.923
_cell_angle_alpha 90.00
_cell_angle_beta 90.00
_cell_angle_gamma 90.00
loop_
_atom_site_label
_atom_site_type_symbol
_atom_site_fract_x
_atom_site_fract_y
_atom_site_fract_z
La1 La 0.000 0.000 0.000
La2 La 0.000 0.000 0.249
La3 La 0.000 0.000 0.500
La4 La 0.000 0.500 0.124
La5 La 0.000 0.500 0.374
Pm1 Pm 0.500 0.500 0.249
Pm2 Pm 0.500 0.500 0.500
Er1 Er 0.500 0.500 0.000
```